1.
Entry from Alexandria: a relaxed TiAg2C crystal (PBE).

Its magnetization is 0.000 μB/cell. Its space group is I-42d. The formation enthalpy at 0 K is 0.88 eV per atom. Its crystal system is tetragonal.

Cell: 3.514 3.514 20.376 Å, 90.00 90.00 90.00°
Positions (direct):
1 Ti 0.000 0.000 0.000
2 Ti 0.000 0.500 0.250
3 Ti 0.500 0.000 0.750
4 Ti 0.500 0.500 0.500
5 Ag 0.247 0.250 0.625
6 Ag 0.250 0.747 0.875
7 Ag 0.250 0.753 0.375
8 Ag 0.253 0.250 0.125
9 Ag 0.747 0.750 0.125
10 Ag 0.750 0.247 0.375
11 Ag 0.750 0.253 0.875
12 Ag 0.753 0.750 0.625
13 C 0.000 0.000 0.500
14 C 0.000 0.500 0.750
15 C 0.500 0.000 0.250
16 C 0.500 0.500 0.000

---

2.
Entry from Alexandria: a relaxed TiVAg2C crystal (PBE).

Its magnetization is 1.083 μB/cell. Its space group is P4/mmm. The formation enthalpy at 0 K is 2.25 eV per atom. Its crystal system is tetragonal.

Cell: 4.899 4.899 4.295 Å, 90.00 90.00 90.00°
Positions (direct):
1 Ti 0.000 0.000 0.000
2 V 0.000 0.000 0.500
3 Ag 0.000 0.500 0.500
4 Ag 0.500 0.000 0.500
5 C 0.500 0.500 0.000

---

3.
Entry from Alexandria: a relaxed Ti2VAgC crystal (PBE).

Its magnetization is 0.907 μB/cell. Its space group is P4/mmm. The formation enthalpy at 0 K is -0.27 eV per atom. Its crystal system is tetragonal.

Cell: 4.225 4.225 4.002 Å, 90.00 90.00 90.00°
Positions (direct):
1 Ti 0.000 0.500 0.000
2 Ti 0.500 0.000 0.000
3 V 0.000 0.000 0.500
4 Ag 0.500 0.500 0.500
5 C 0.000 0.000 0.000

---

4.
Entry from Alexandria: a relaxed Y2TiAgC crystal (PBE).

Its magnetization is 0.001 μB/cell. Its space group is P4/mmm. The formation enthalpy at 0 K is -0.27 eV per atom. Its crystal system is tetragonal.

Cell: 4.975 4.975 4.152 Å, 90.00 90.00 90.00°
Positions (direct):
1 Y 0.000 0.500 0.000
2 Y 0.500 0.000 0.000
3 Ti 0.000 0.000 0.500
4 Ag 0.500 0.500 0.500
5 C 0.000 0.000 0.000

---

5.
Entry from Alexandria: a relaxed YTi2AgC crystal (PBE).

Its magnetization is 0.001 μB/cell. Its space group is P4/mmm. The formation enthalpy at 0 K is -0.23 eV per atom. Its crystal system is tetragonal.

Cell: 4.260 4.260 4.859 Å, 90.00 90.00 90.00°
Positions (direct):
1 Y 0.000 0.000 0.000
2 Ti 0.000 0.500 0.500
3 Ti 0.500 0.000 0.500
4 Ag 0.500 0.500 0.000
5 C 0.000 0.000 0.500

---

6.
Entry from Alexandria: a relaxed ZrTi2AgC crystal (PBE).

Its magnetization is 0.000 μB/cell. Its space group is P4/mmm. The formation enthalpy at 0 K is -0.34 eV per atom. Its crystal system is tetragonal.

Cell: 4.238 4.238 4.522 Å, 90.00 90.00 90.00°
Positions (direct):
1 Zr 0.000 0.000 0.000
2 Ti 0.000 0.500 0.500
3 Ti 0.500 0.000 0.500
4 Ag 0.500 0.500 0.000
5 C 0.000 0.000 0.500